6
Lattice="4.8699 -1.5593 0.0000 4.8699 1.5593 0.0000 -0.8792 0.0000 7.1078" Properties=species:S:1:pos:R:3 comment="PBE-GGA Re2Te, relaxed" e_tot_ev_per_cell=-52.9 space_group="No. 12" n_ef_per_ev_cell=2.3 vol_a3_per_cell=107.9 de_polymorph_mev_per_atom=358 pbc="T T T"
Re 1.4222 0.0000 0.1959
Re 1.8401 0.0000 4.7679
Re 7.0205 0.0000 2.3399
Re 7.4384 0.0000 6.9119
Te 4.3018 0.0000 1.9449
Te 4.5588 0.0000 5.1628

---

6
Lattice="4.6924 0.0000 0.0000 -2.3462 4.0637 0.0000 0.0000 0.0000 5.3969" Properties=species:S:1:pos:R:3 comment="PBE-GGA Re2Te, relaxed" e_tot_ev_per_cell=-49.5 space_group="No. 194" n_ef_per_ev_cell=6.7 vol_a3_per_cell=102.9 de_polymorph_mev_per_atom=937 pbc="T T T"
Re 0.0000 0.0000 0.0000
Re 0.0000 0.0000 2.6985
Re 0.0000 2.7092 1.3492
Re 2.3462 1.3546 4.0477
Te 0.0000 2.7092 4.0477
Te 2.3462 1.3546 1.3492

---

2
Lattice="3.3115 0.0000 0.0000 0.0000 3.3115 0.0000 0.0000 0.0000 3.2915" Properties=species:S:1:pos:R:3 comment="PBE-GGA ReTe, relaxed" e_tot_ev_per_cell=-13.9 space_group="No. 123" n_ef_per_ev_cell=0.8 vol_a3_per_cell=36.1 de_polymorph_mev_per_atom=510 pbc="T T T"
Re 0.0000 0.0000 0.0000
Te 1.6557 1.6557 1.6457

---

2
Lattice="1.6117 0.9305 4.1133 -1.6117 0.9305 4.1133 0.0000 -1.8611 4.1133" Properties=species:S:1:pos:R:3 comment="PBE-GGA ReTe, relaxed" e_tot_ev_per_cell=-14.0 space_group="No. 166" n_ef_per_ev_cell=1.3 vol_a3_per_cell=37.0 de_polymorph_mev_per_atom=471 pbc="T T T"
Re 0.0000 0.0000 0.0000
Te 0.0000 0.0000 6.1700

---

4
Lattice="3.2590 0.0000 0.0000 -1.6295 2.8223 0.0000 0.0000 0.0000 9.6748" Properties=species:S:1:pos:R:3 comment="PBE-GGA ReTe, relaxed" e_tot_ev_per_cell=-29.9 space_group="No. 164" n_ef_per_ev_cell=1.2 vol_a3_per_cell=89.0 de_polymorph_mev_per_atom=0 pbc="T T T"
Re 0.0000 1.8816 0.9615
Re 1.6295 0.9408 8.7133
Te 0.0000 1.8816 6.7599
Te 1.6295 0.9408 2.9149

---

12
Lattice="5.5954 0.0000 0.0000 0.0000 4.4736 0.0000 0.0000 0.0000 8.2188" Properties=species:S:1:pos:R:3 comment="PBE-GGA Re2Te, relaxed" e_tot_ev_per_cell=-102.4 space_group="No. 62" n_ef_per_ev_cell=9.1 vol_a3_per_cell=205.7 de_polymorph_mev_per_atom=649 pbc="T T T"
Re 0.0558 1.1184 1.9298
Re 0.7457 3.3552 3.6467
Re 2.0520 1.1184 7.7561
Re 2.7419 3.3552 6.0392
Re 2.8535 1.1184 2.1796
Re 3.5434 3.3552 0.4627
Re 4.8497 1.1184 4.5720
Re 5.5396 3.3552 6.2890
Te 0.8854 3.3552 0.7387
Te 1.9123 1.1184 4.8481
Te 3.6831 3.3552 3.3707
Te 4.7101 1.1184 7.4801

---

Number 1: E_form (uncorrected) 0.526 eV/atom. Number 2: E_form (uncorrected) 1.104 eV/atom. Number 3: E_form (uncorrected) 0.839 eV/atom. Number 4: E_form (uncorrected) 0.800 eV/atom. Number 5: E_form (uncorrected) 0.329 eV/atom. Number 6: E_form (uncorrected) 0.817 eV/atom.